A geometry-optimized Ac5Tl3 structure, computed with PBE.

* calculated total energy: -0.2694 Ry per atom
* E above lowest polymorph: 67.1 meV/atom
* size of the total moment: 0.000 μB per atom

Cell lengths 8.965, 11.908, 5.659 Å; angles 90.00, 90.00, 90.00 degrees
Space group Cmmm (No. 65)
One atom of each set of equivalent atoms:
Ac  0.000  0.000  0.000 (multiplicity 2)
Ac  0.205  0.500  0.500 (multiplicity 4)
Ac  0.250  0.250  0.000 (multiplicity 4)
Tl  0.000  0.206  0.500 (multiplicity 4)
Tl  0.000  0.500  0.000 (multiplicity 2)